Compound: ReW3
Source: Alexandria
Functional: PBE-GGA
Structure: optimized geometry

Crystal system: orthorhombic
SG: Pmmm (47)
Raw total energy (eV for the cell shown): -50.0
Energy above the lowest structure with this stoichiometry (meV per atom): 311
Calculated formation energy (meV per atom): 329

Unit cell a=2.796 b=4.092 c=5.618 alpha=90.00 beta=90.00 gamma=90.00
Element x y z (fractional)
Re  0.000  0.000  0.000
W  0.000  0.000  0.500
W  0.500  0.500  0.245
W  0.500  0.500  0.755



Compound: Na2PPb2
Source: Alexandria
Functional: PBE-GGA
Structure: optimized geometry

Crystal system: tetragonal
SG: P4/mbm (127)
Raw total energy (eV for the cell shown): -30.5
Calculated formation energy (meV per atom): 39

Unit cell a=7.508 b=7.508 c=5.174 alpha=90.00 beta=90.00 gamma=90.00
Element x y z (fractional)
Pb  0.351  0.851  0.000
Pb  0.851  0.649  0.000
Pb  0.649  0.149  0.000
Pb  0.149  0.351  0.000
P  0.000  0.000  0.000
P  0.500  0.500  0.000
Na  0.165  0.665  0.500
Na  0.665  0.835  0.500
Na  0.835  0.335  0.500
Na  0.335  0.165  0.500



Compound: ZrAg2Os
Source: Alexandria
Functional: PBE-GGA
Structure: optimized geometry

Crystal system: orthorhombic
SG: Cmmm (65)
Raw total energy (eV for the cell shown): -23.4
Energy above the lowest structure with this stoichiometry (meV per atom): 440
Calculated formation energy (meV per atom): 513

Unit cell a=2.742 b=2.742 c=9.680 alpha=90.00 beta=90.00 gamma=104.12
Element x y z (fractional)
Ag  0.000  0.000  0.009
Ag  0.000  0.000  0.491
Os  0.500  0.500  0.250
Zr  0.500  0.500  0.750



Compound: PrDy4Ho3
Source: Alexandria
Functional: PBE-GGA
Structure: optimized geometry

Crystal system: orthorhombic
SG: Cmmm (65)
Raw total energy (eV for the cell shown): -35.1
Energy above the lowest structure with this stoichiometry (meV per atom): 215
Calculated formation energy (meV per atom): 227

Unit cell a=5.660 b=3.551 c=13.346 alpha=89.98 beta=102.24 gamma=90.00
Element x y z (fractional)
Pr  0.500  0.000  0.000
Ho  0.000  0.500  0.000
Ho  0.844  0.000  0.688
Ho  0.156  0.000  0.312
Dy  0.606  0.500  0.211
Dy  0.394  0.500  0.789
Dy  0.276  0.499  0.551
Dy  0.724  0.501  0.449



Compound: BaHf3Tl
Source: Alexandria
Functional: PBE-GGA
Structure: optimized geometry

Crystal system: cubic
SG: Pm-3m (221)
Raw total energy (eV for the cell shown): -28.1
Energy above the lowest structure with this stoichiometry (meV per atom): 0
Calculated formation energy (meV per atom): 1205

Unit cell a=5.494 b=5.494 c=5.494 alpha=90.00 beta=90.00 gamma=90.00
Site moments in Bohr magnetons follow the coordinates.
Element x y z (fractional)
Tl  0.000  0.000  0.000  0.06
Hf  0.000  0.500  0.000  0.33
Hf  0.000  0.000  0.500  0.47
Hf  0.500  0.000  0.000  0.31
Ba  0.500  0.500  0.500  0.09



Compound: CuPb2W
Source: Alexandria
Functional: PBE-GGA
Structure: optimized geometry

Crystal system: monoclinic
SG: Cm (8)
Raw total energy (eV for the cell shown): -21.4
Energy above the lowest structure with this stoichiometry (meV per atom): 214
Calculated formation energy (meV per atom): 755

Unit cell a=5.782 b=5.782 c=5.146 alpha=74.70 beta=74.70 gamma=30.40
Element x y z (fractional)
Cu  0.787  0.787  0.775
Pb  0.020  0.020  0.941
Pb  0.227  0.227  0.311
W  0.467  0.467  0.472